Record 1
Material: Pm2DySn3Pd6
Method: DFT, PBE
State: optimized geometry

Unit cell a=4.0532 b=4.0532 c=17.9565 alpha=90.00 beta=90.00 gamma=90.00
Closest atoms and distances in Å follow each position.
Space group P4/mmm (No. 123)
One atom of each set of equivalent atoms:
Pm1 0.0000 0.0000 0.1898  4 Pd 2.99
Dy1 0.0000 0.0000 0.5000  8 Pd 2.87
Sn1 0.5000 0.5000 0.0000  2 Pd 2.55
Sn2 0.5000 0.5000 0.2912  5 Pd 2.65-2.68
Pd1 0.0000 0.5000 0.3867  2 Sn 2.65, 4 Pd 2.87, 2 Dy 2.87
Pd2 0.5000 0.5000 0.1418  2 Sn 2.55-2.68

total moment: 0.00 μB/cell
final energy: -5.29 eV/atom
formation energy from the elements: -0.521 eV/atom

---

Record 2
Material: Cs2KMnBr6
Method: DFT, PBE
State: optimized geometry

Unit cell a=7.7712 b=7.7712 c=8.0060 alpha=90.00 beta=90.00 gamma=120.00
Closest atoms and distances in Å follow each position.
Space group P-3m1 (No. 164)
One atom of each set of equivalent atoms:
Cs1 0.3333 0.6667 0.3366  9 Br 3.68-3.89
K1 0.0000 0.0000 0.0000  6 Br 3.27
Mn1 0.0000 0.0000 0.5000  6 Br 2.59
Br1 0.1570 0.3139 0.6882  1 Mn 2.59

total moment: 4.00 μB/cell
final energy: -3.54 eV/atom
relative energy among the computed polymorphs: 0.000 eV per formula unit

---

Record 3
Material: KSc3Sb
Method: DFT, PBE
State: optimized geometry

Unit cell a=4.9810 b=4.9810 c=4.9810 alpha=90.00 beta=90.00 gamma=90.00
Closest atoms and distances in Å follow each position.
Space group Pm-3m (No. 221)
One atom of each set of equivalent atoms:
K1 0.0000 0.0000 0.0000  6 Sc 2.49
Sc1 0.0000 0.0000 0.5000  2 K 2.49
Sb1 0.5000 0.5000 0.5000  12 Sc 3.52

total moment: 0.00 μB/cell
final energy: -3.65 eV/atom
relative energy among the computed polymorphs: 4.542 eV per formula unit

---

Record 4
Material: LiPuZn17
Method: DFT, PBE
State: optimized geometry

Unit cell a=8.9801 b=8.9801 c=13.1837 alpha=90.00 beta=90.00 gamma=120.00
Closest atoms and distances in Å follow each position.
Space group R3m (No. 160, hexagonal axes)
One atom of each set of equivalent atoms:
Li1 0.0000 0.0000 0.0000  16 Zn 3.11-3.44
Pu1 0.0000 0.0000 0.6817  19 Zn 3.16-3.40
Zn1 0.0000 0.0000 0.2379  7 Zn 2.69-2.81
Zn2 0.0000 0.0000 0.4421  13 Zn 2.68-2.99
Zn3 0.0031 0.5015 0.4934  9 Zn 2.56-2.81
Zn4 0.0350 0.3642 0.0104  8 Zn 2.58-2.78
Zn5 0.1717 0.3435 0.1800  10 Zn 2.58-2.78
Zn6 0.1736 0.3472 0.5250  8 Zn 2.56-2.78

total moment: 17.09 μB/cell
final energy: -2.09 eV/atom
formation energy from the elements: -0.093 eV/atom

---

Record 5
Material: AcSmCd2Hg4
Method: DFT, PBE
State: optimized geometry

Unit cell a=5.2640 b=5.2640 c=25.9623 alpha=90.00 beta=90.00 gamma=120.00
Closest atoms and distances in Å follow each position.
Space group R-3m (No. 166, hexagonal axes)
One atom of each set of equivalent atoms:
Ac1 0.0000 0.0000 0.0000  8 Hg 3.27-3.36
Sm1 0.0000 0.0000 0.5000  8 Hg 3.11-3.19
Cd1 0.0000 0.0000 0.2495  8 Hg 3.12-3.39
Hg1 0.0000 0.0000 0.1294  4 Cd 3.12-3.26, 3 Sm 3.19, 1 Ac 3.36
Hg2 0.0000 0.0000 0.3801  1 Sm 3.11, 4 Cd 3.19-3.39, 3 Ac 3.27

total moment: 0.00 μB/cell
final energy: -1.89 eV/atom
formation energy from the elements: -0.404 eV/atom

---

Record 6
Material: ScSnIr2
Method: DFT, PBE
State: optimized geometry

Unit cell a=2.8633 b=4.8861 c=10.7175 alpha=90.00 beta=90.00 gamma=90.00
Closest atoms and distances in Å follow each position.
Space group Immm (No. 71)
One atom of each set of equivalent atoms:
Sc1 0.0000 0.0000 0.0000  2 Ir 2.54, 4 Sn 2.83
Sn1 0.0000 0.0000 0.5000  2 Ir 2.82, 4 Sc 2.83, 2 Sn 2.86
Ir1 0.0000 0.0000 0.2366  1 Sc 2.54, 1 Sn 2.82

total moment: 0.00 μB/cell
final energy: -6.80 eV/atom
formation energy from the elements: 0.209 eV/atom

---

Record 7
Material: LaAl2Re
Method: DFT, PBE
State: optimized geometry

Unit cell a=3.2029 b=3.2499 c=7.5089 alpha=90.00 beta=90.00 gamma=90.00
Closest atoms and distances in Å follow each position.
Space group Pmmm (No. 47)
One atom of each set of equivalent atoms:
La1 0.0000 0.0000 0.0000  4 La 3.20-3.25, 8 Al 3.32
Al1 0.5000 0.5000 0.3212  4 Re 2.65, 1 Al 2.69
Re1 0.0000 0.0000 0.5000  8 Al 2.65

total moment: 0.00 μB/cell
final energy: -6.39 eV/atom
formation energy from the elements: -0.172 eV/atom
relative energy among the computed polymorphs: 0.000 eV per formula unit

---

Record 8
Material: Pm8TlIn6
Method: DFT, PBE
State: optimized geometry

Unit cell a=9.3592 b=9.3592 c=19.0173 alpha=90.00 beta=90.00 gamma=120.00
Closest atoms and distances in Å follow each position.
Space group R-3 (No. 148, hexagonal axes)
One atom of each set of equivalent atoms:
Pm1 0.0000 0.0000 0.2112  6 In 3.18-3.31
Pm2 0.0025 0.7376 0.6112  4 In 3.13-3.49, 1 Tl 3.25, 1 Pm 3.47
Tl1 0.0000 0.0000 0.5000  6 Pm 3.25
In1 0.0263 0.3021 0.8882  6 Pm 3.13-3.49, 1 In 3.17

total moment: 0.00 μB/cell
final energy: -4.04 eV/atom
formation energy from the elements: -0.255 eV/atom

---

Record 9
Material: Mn3TlCd
Method: DFT, PBE
State: optimized geometry

Unit cell a=5.0637 b=5.0637 c=5.0637 alpha=90.00 beta=90.00 gamma=90.00
Closest atoms and distances in Å follow each position.
Space group Pm-3m (No. 221)
One atom of each set of equivalent atoms:
Mn1 0.0000 0.0000 0.5000  2 Cd 2.53
Tl1 0.5000 0.5000 0.5000  12 Mn 3.58
Cd1 0.0000 0.0000 0.0000  6 Mn 2.53

total moment: 12.47 μB/cell
final energy: -5.04 eV/atom
formation energy from the elements: 1.116 eV/atom
relative energy among the computed polymorphs: 0.000 eV per formula unit

---

Record 10
Material: CaLa4Ho5
Method: DFT, PBE
State: optimized geometry

Unit cell a=17.8012 b=3.5996 c=11.9111 alpha=90.00 beta=104.74 gamma=90.00
Closest atoms and distances in Å follow each position.
Space group C2/m (No. 12)
One atom of each set of equivalent atoms:
Ca1 0.0000 0.0000 0.0000  4 Ho 3.54, 2 Ca 3.60, 4 La 3.60
La1 0.0187 0.5000 0.7465  4 Ho 3.39-3.47, 4 La 3.60-3.66, 2 Ca 3.60
La2 0.1943 0.0000 0.7300  4 La 3.60-3.66, 7 Ho 3.62-3.83
Ho1 0.0000 0.0000 0.5000  4 La 3.39, 6 Ho 3.60-3.63
Ho2 0.1642 0.5000 0.4460  4 La 3.47-3.75, 6 Ho 3.50-3.63
Ho3 0.1691 0.5000 0.9869  4 Ho 3.34-3.60, 4 La 3.39-3.68, 2 Ca 3.54

total moment: 0.00 μB/cell
final energy: -4.21 eV/atom
formation energy from the elements: 0.247 eV/atom

---

Record 11
Material: Tm6Tl6Pb
Method: DFT, PBE
State: optimized geometry

Unit cell a=6.4672 b=6.4672 c=10.2022 alpha=90.00 beta=90.00 gamma=120.00
Closest atoms and distances in Å follow each position.
Space group P6/mmm (No. 191)
One atom of each set of equivalent atoms:
Tm1 0.0000 0.0000 0.1807  1 Pb 3.26, 6 Tl 3.31
Tm2 0.3333 0.6667 0.0000  6 Tl 3.16
Tm3 0.3333 0.6667 0.5000  6 Tl 3.16
Tl1 0.0000 0.5000 0.2502  6 Tm 3.16-3.31, 4 Tl 3.23
Pb1 0.0000 0.0000 0.5000  2 Tm 3.26

total moment: 0.00 μB/cell
final energy: -3.59 eV/atom
formation energy from the elements: -0.151 eV/atom

---

Record 12
Material: YBe4Ru
Method: DFT, PBE
State: optimized geometry

Unit cell a=6.6221 b=6.6221 c=6.6221 alpha=90.00 beta=90.00 gamma=90.00
Closest atoms and distances in Å follow each position.
Space group F-43m (No. 216)
One atom of each set of equivalent atoms:
Y1 0.0000 0.0000 0.0000  12 Be 2.75, 4 Ru 2.87
Be1 0.1213 0.1213 0.3787  6 Be 2.27-2.41
Ru1 0.2500 0.2500 0.7500  12 Be 2.74, 4 Y 2.87

total moment: 0.00 μB/cell
final energy: -5.28 eV/atom
formation energy from the elements: -0.169 eV/atom

---

Record 13
Material: RbMg2Se2
Method: DFT, PBE
State: optimized geometry

Unit cell a=4.5880 b=4.5880 c=14.8730 alpha=90.00 beta=90.00 gamma=90.00
Closest atoms and distances in Å follow each position.
Space group I4/mmm (No. 139)
One atom of each set of equivalent atoms:
Rb1 0.0000 0.0000 0.0000  8 Se 3.97, 8 Mg 4.37
Mg1 0.0000 0.5000 0.2500  4 Se 2.71
Se1 0.0000 0.0000 0.3466  4 Mg 2.71

total moment: 0.00 μB/cell
final energy: -3.14 eV/atom
relative energy among the computed polymorphs: 0.000 eV per formula unit

---

Record 14
Material: PmTh2Hg
Method: DFT, PBE
State: optimized geometry

Unit cell a=3.5716 b=3.5716 c=9.6922 alpha=90.00 beta=90.00 gamma=90.00
Closest atoms and distances in Å follow each position.
Space group P4/mmm (No. 123)
One atom of each set of equivalent atoms:
Pm1 0.0000 0.0000 0.0000  4 Pm 3.57, 8 Th 3.65
Th1 0.5000 0.5000 0.2717  4 Hg 3.36, 4 Th 3.57, 4 Pm 3.65
Hg1 0.0000 0.0000 0.5000  8 Th 3.36, 4 Hg 3.57

total moment: 0.00 μB/cell
final energy: -5.00 eV/atom
formation energy from the elements: -0.030 eV/atom
relative energy among the computed polymorphs: 0.183 eV per formula unit

---

Record 15
Material: MgNb3Rh4
Method: DFT, PBE
State: optimized geometry

Unit cell a=4.4510 b=4.4510 c=22.3564 alpha=90.00 beta=90.00 gamma=120.00
Closest atoms and distances in Å follow each position.
Space group R-3m (No. 166, hexagonal axes)
One atom of each set of equivalent atoms:
Mg1 0.0000 0.0000 0.0000  8 Rh 2.57-2.72
Nb1 0.0000 0.0000 0.2452  8 Rh 2.64-2.92
Nb2 0.0000 0.0000 0.5000  8 Rh 2.82-2.84, 6 Nb 3.11
Rh1 0.0000 0.0000 0.1147  1 Mg 2.57, 6 Nb 2.64-2.82
Rh2 0.0000 0.0000 0.3731  3 Mg 2.72, 5 Nb 2.79-2.86

total moment: 0.00 μB/cell
final energy: -8.03 eV/atom
formation energy from the elements: -0.374 eV/atom

---

Record 16
Material: Tc2HgPb
Method: DFT, PBE
State: optimized geometry

Unit cell a=3.0673 b=3.0673 c=8.6522 alpha=90.00 beta=90.00 gamma=90.00
Closest atoms and distances in Å follow each position.
Space group P4mm (No. 99)
One atom of each set of equivalent atoms:
Tc1 0.0000 0.0000 0.0000  4 Tc 2.56
Tc2 0.5000 0.5000 0.1570  4 Tc 2.56
Hg1 0.0000 0.0000 0.3996  4 Tc 3.02, 4 Hg 3.07
Pb1 0.5000 0.5000 0.7400  4 Pb 3.07, 4 Tc 3.12

total moment: 0.00 μB/cell
final energy: -5.90 eV/atom
formation energy from the elements: 0.285 eV/atom
relative energy among the computed polymorphs: 0.045 eV per formula unit

---

Record 17
Material: Pr2Tm12Zr
Method: DFT, PBE
State: optimized geometry

Unit cell a=6.3699 b=6.3699 c=24.1920 alpha=90.00 beta=90.00 gamma=90.00
Closest atoms and distances in Å follow each position.
Space group P4/nbm (No. 125, origin choice 2)
One atom of each set of equivalent atoms:
Pr1 0.2500 0.7500 0.2303  8 Tm 3.54-3.58
Tm1 0.0567 0.5567 0.3969  1 Zr 3.04, 6 Tm 3.27-3.40
Tm2 0.0808 0.5808 0.0613  8 Tm 3.05-3.40
Tm3 0.2500 0.2500 0.1624  5 Tm 3.18-3.40
Tm4 0.2500 0.2500 0.2940  5 Tm 3.18-3.40, 4 Pr 3.54
Zr1 0.2500 0.7500 0.5000  4 Tm 3.04

total moment: 1.94 μB/cell
final energy: -4.40 eV/atom
formation energy from the elements: 0.380 eV/atom

---

Record 18
Material: LiZrBeIr2
Method: DFT, PBE
State: optimized geometry

Unit cell a=4.2031 b=4.2031 c=4.2447 alpha=90.00 beta=90.00 gamma=90.00
Closest atoms and distances in Å follow each position.
Space group P4/mmm (No. 123)
One atom of each set of equivalent atoms:
Li1 0.0000 0.0000 0.0000  4 Ir 2.10, 2 Zr 2.12
Zr1 0.0000 0.0000 0.5000  2 Li 2.12
Be1 0.5000 0.5000 0.5000  4 Zr 2.97, 8 Ir 2.99
Ir1 0.0000 0.5000 0.0000  2 Li 2.10

total moment: 0.00 μB/cell
final energy: -5.71 eV/atom
formation energy from the elements: 0.669 eV/atom

---

Record 19
Material: Al2WAu
Method: DFT, PBE
State: optimized geometry

Unit cell a=2.9094 b=3.5760 c=6.0757 alpha=90.00 beta=90.00 gamma=90.00
Closest atoms and distances in Å follow each position.
Space group Pmmm (No. 47)
One atom of each set of equivalent atoms:
Al1 0.0000 0.0000 0.2370  4 W 2.72, 4 Au 2.80, 3 Al 2.88-2.91
W1 0.5000 0.5000 0.0000  8 Al 2.72, 2 W 2.91, 2 Au 3.04
Au1 0.5000 0.5000 0.5000  8 Al 2.80, 2 Au 2.91, 2 W 3.04

total moment: 0.00 μB/cell
final energy: -6.01 eV/atom
formation energy from the elements: -0.084 eV/atom
relative energy among the computed polymorphs: 0.176 eV per formula unit

---

Record 20
Material: TaTiMo2
Method: DFT, PBE
State: optimized geometry

Unit cell a=4.5197 b=4.5197 c=3.2094 alpha=90.00 beta=90.00 gamma=90.00
Closest atoms and distances in Å follow each position.
Space group P4/mmm (No. 123)
One atom of each set of equivalent atoms:
Ta1 0.0000 0.0000 0.0000  8 Mo 2.77
Ti1 0.5000 0.5000 0.0000  8 Mo 2.77
Mo1 0.0000 0.5000 0.5000  4 Ta 2.77, 4 Ti 2.77

total moment: 0.00 μB/cell
final energy: -10.48 eV/atom
formation energy from the elements: -0.125 eV/atom
relative energy among the computed polymorphs: 0.033 eV per formula unit